Computed, not measured: a relaxed Hf2NbHg2 crystal at the PBE-GGA level of DFT.

Computed properties:
**E_form**: 0.228 eV per atom
**V**: 21.218 A^3/atom
**Magnetic moment**: 0.000 Bohr magnetons per cell
**ΔE to the lowest computed polymorph**: 0.227 eV per atom

Lattice parameters (Å, degrees): 7.8881 7.8881 3.4101 90.00 90.00 90.00
Space group P4/mbm (No. 127)
Symmetry-distinct sites (fractional):
Hf (0.1775, 0.3225, 0.0000) x4
Nb (0.0000, 0.0000, 0.5000) x2
Hg (0.1270, 0.6270, 0.5000) x4